[1]
HfPa2CrN6: relaxed, PBE.

Output
* calculated density: 9.4 g cm⁻³
* E_form (uncorrected): -111 kJ per mole of atoms
* symmetry: No. 99

Geometry as extended XYZ:
```
10
Lattice="-3.229 3.437 -1.266 -3.108 -3.719 -2.168 -2.490 -0.628 4.647" Properties=species:S:1:pos:R:3 pbc="T T T"
Hf -4.643 -0.211 0.517
Pa -4.743 1.535 -2.334
Pa -4.434 3.080 1.073
Cr -1.871 1.991 -0.733
N -3.715 1.479 -0.334
N -5.009 1.153 2.081
N -3.306 -1.633 1.040
N -0.736 0.783 -0.289
N -6.624 -0.780 0.954
N -5.330 -0.454 -1.461
```


[2]
SbSI: relaxed, PBE.

Output
* calculated density: 4.4 g cm⁻³
* E_form (uncorrected): -25 kJ per mole of atoms
* symmetry: No. 156

Geometry as extended XYZ:
```
3
Lattice="4.082 0.000 0.000 -2.041 3.535 0.000 0.000 0.000 7.349" Properties=species:S:1:pos:R:3 pbc="T T T"
I 0.000 2.357 4.312
Sb 2.041 1.178 2.177
S 0.000 0.000 0.860
```


[3]
ZrTaTc2: relaxed, PBE.

Output
* calculated density: 11.4 g cm⁻³
* uncorrected energy: -10.43 eV/atom
* symmetry: No. 65

Geometry as extended XYZ:
```
4
Lattice="2.902 -0.011 0.000 -1.089 2.690 0.000 0.000 0.000 8.755" Properties=species:S:1:pos:R:3 pbc="T T T"
Ta 0.906 1.340 6.567
Tc 0.000 0.000 8.680
Tc 0.000 0.000 4.453
Zr 0.906 1.340 2.189
```


[4]
PuMg4Bi3: relaxed, PBE.

Output
* calculated density: 6.8 g cm⁻³
* uncorrected energy: -4.10 eV/atom
* symmetry: No. 71

Geometry as extended XYZ:
```
8
Lattice="-2.924 0.257 -4.298 1.969 -6.310 -1.716 -4.665 0.511 6.355" Properties=species:S:1:pos:R:3 pbc="T T T"
Mg -4.079 -4.441 -1.940
Mg -2.745 -0.995 0.510
Mg -0.180 -1.308 -1.260
Mg 0.939 -4.896 -2.236
Bi -2.509 -1.724 3.458
Bi -2.066 0.181 -3.038
Bi -1.391 -3.970 -0.589
Pu -1.082 -2.974 -3.896
```


[5]
Pr4Ir3Rh: relaxed, PBE.

Output
* calculated density: 10.8 g cm⁻³
* uncorrected energy: -7.23 eV/atom
* symmetry: No. 25

Geometry as extended XYZ:
```
8
Lattice="4.092 0.000 0.000 0.000 4.252 0.000 0.000 0.000 11.008" Properties=species:S:1:pos:R:3 pbc="T T T"
Pr 2.046 2.126 3.917
Pr 0.000 2.126 9.413
Pr 0.000 0.000 1.577
Pr 2.046 0.000 7.103
Ir 0.000 2.126 6.338
Ir 0.000 0.000 4.655
Ir 2.046 0.000 10.148
Rh 2.046 2.126 0.882
```


[6]
TbGePt6: relaxed, PBE.

Output
* calculated density: 13.9 g cm⁻³
* symmetry: No. 166
* energy above the most stable polymorph in this dataset: 195 meV per atom

Geometry as extended XYZ:
```
8
Lattice="-1.878 -1.051 -4.950 -3.156 -4.298 -0.833 -7.040 1.912 -0.677" Properties=species:S:1:pos:R:3 pbc="T T T"
Tb -6.037 -1.719 -3.230
Ge 0.000 0.000 0.000
Pt -9.688 -3.582 -5.833
Pt -8.768 -3.067 -3.409
Pt -3.932 -1.961 -1.034
Pt -3.306 -0.370 -3.051
Pt -2.386 0.145 -0.627
Pt -8.142 -1.477 -5.425
```


[7]
LiHfSe2: relaxed, PBE.

Output
* calculated density: 6.9 g cm⁻³
* E_form (uncorrected): -120 kJ per mole of atoms
* symmetry: No. 160

Geometry as extended XYZ:
```
4
Lattice="3.705 0.000 0.000 1.852 3.208 0.000 1.852 1.069 6.923" Properties=species:S:1:pos:R:3 pbc="T T T"
Li 3.705 2.139 3.447
Hf 3.705 2.139 0.006
Se 1.852 1.069 5.262
Se 1.852 1.069 1.669
```


[8]
MnCd2Pb: relaxed, PBE.

Output
* calculated density: 8.9 g cm⁻³
* uncorrected energy: -3.43 eV/atom
* symmetry: No. 99

Geometry as extended XYZ:
```
4
Lattice="-2.150 1.492 2.025 -2.505 -1.029 -1.902 -0.569 -6.917 4.493" Properties=species:S:1:pos:R:3 pbc="T T T"
Cd -0.016 -0.195 0.126
Cd -2.485 -1.680 1.303
Mn -0.271 -3.292 2.138
Pb -2.737 -4.747 3.295
```


[9]
TbGdYZr: relaxed, PBE.

Output
* calculated density: 6.9 g cm⁻³
* uncorrected energy: -8.24 eV/atom
* symmetry: No. 216

Geometry as extended XYZ:
```
4
Lattice="-5.332 -1.319 -0.546 -1.454 -4.485 -2.872 -2.033 -4.414 2.618" Properties=species:S:1:pos:R:3 pbc="T T T"
Y -6.615 -7.664 -0.600
Gd 0.000 0.000 0.000
Tb -4.410 -5.109 -0.400
Zr -2.205 -2.555 -0.200
```


[10]
Tl2HRhAu: relaxed, PBE.

Output
* calculated density: 13.3 g cm⁻³
* symmetry: No. 123
* energy above the most stable polymorph in this dataset: 55 meV per atom

Geometry as extended XYZ:
```
5
Lattice="5.111 0.000 0.000 0.000 5.111 0.000 0.000 0.000 3.401" Properties=species:S:1:pos:R:3 pbc="T T T"
Rh 0.000 0.000 1.700
Tl 0.000 2.555 0.000
Tl 2.555 0.000 0.000
Au 2.555 2.555 1.700
H 0.000 0.000 0.000
```


[11]
Cd2MoIr: relaxed, PBE.

Output
* calculated density: 12.1 g cm⁻³
* symmetry: No. 225
* energy above the most stable polymorph in this dataset: 568 meV per atom

Geometry as extended XYZ:
```
4
Lattice="-0.048 -2.729 3.743 -3.838 -2.346 1.107 -0.123 -4.604 -0.492" Properties=species:S:1:pos:R:3 pbc="T T T"
Mo 0.000 0.000 0.000
Ir -2.004 -4.840 2.179
Cd -1.002 -2.420 1.089
Cd -3.006 -7.260 3.268
```


[12]
KInBiPb: relaxed, PBE.

Output
* calculated density: 7.1 g cm⁻³
* symmetry: No. 216
* energy above the most stable polymorph in this dataset: 11 meV per atom

Geometry as extended XYZ:
```
4
Lattice="5.721 0.000 0.000 2.861 4.955 0.000 2.861 1.652 4.671" Properties=species:S:1:pos:R:3 pbc="T T T"
Pb 8.582 4.955 3.503
K 5.721 3.303 2.336
Bi 0.000 0.000 0.000
In 2.861 1.652 1.168
```